1.
Below is crystalline ZnFe2Cl at its relaxed geometry, with properties calculated at the PBE level.

Computed properties:
**Formation energy (no corrections)**: 609 meV per atom
**Calculated total energy**: -0.3235 Ry/atom
**Space-group type**: Fm-3m

```
ZnFe2Cl
1.0
0.0000 3.0401 3.0401
3.0401 0.0000 3.0401
3.0401 3.0401 0.0000
Zn Fe Cl
1 2 1
Direct
0.0000 0.0000 0.0000
0.2500 0.2500 0.2500
0.7500 0.7500 0.7500
0.5000 0.5000 0.5000
```

=====

2.
Below is crystalline K2AcTc2O7 at its relaxed geometry, with properties calculated at the PBE level.

Computed properties:
**Formation energy (no corrections)**: -1910 meV per atom
**Calculated total energy**: -0.5186 Ry/atom
**Space-group type**: I4/mmm

```
K2AcTc2O7
1.0
-2.0222 2.0222 10.6390
2.0222 -2.0222 10.6390
2.0222 2.0222 -10.6390
K Ac Tc O
2 1 2 7
Direct
0.1890 0.1890 0.0000
0.8110 0.8110 0.0000
0.0000 0.0000 0.0000
0.4054 0.4054 0.0000
0.5946 0.5946 0.0000
0.0856 0.5856 0.5000
0.3185 0.3185 0.0000
0.4144 0.9144 0.5000
0.5000 0.5000 0.0000
0.5856 0.0856 0.5000
0.6815 0.6815 0.0000
0.9144 0.4144 0.5000
```

=====

3.
Below is crystalline LiMgBePt2 at its relaxed geometry, with properties calculated at the PBE level.

Computed properties:
**Energy of formation from the pure elements**: -0.46 eV per atom
**Calculated total energy**: -0.3179 Ry/atom
**Space-group type**: P4/mmm

```
LiMgBePt2
1.0
4.2215 0.0000 0.0000
0.0000 4.2215 0.0000
0.0000 0.0000 4.2015
Li Mg Be Pt
1 1 1 2
Direct
0.0000 0.0000 0.0000
0.5000 0.5000 0.0000
0.0000 0.0000 0.5000
0.0000 0.5000 0.5000
0.5000 0.0000 0.5000
```

=====

4.
Below is crystalline CoTcS2I at its relaxed geometry, with properties calculated at the PBE level.

Computed properties:
**Formation energy (no corrections)**: 756 meV per atom
**Calculated total energy**: -0.3454 Ry/atom
**Space-group type**: P4/mmm

```
CoTcS2I
1.0
4.2913 0.0000 0.0000
0.0000 4.2913 0.0000
0.0000 0.0000 5.8135
Co Tc S I
1 1 2 1
Direct
0.0000 0.0000 0.0000
0.0000 0.0000 0.5000
0.0000 0.5000 0.0000
0.5000 0.0000 0.0000
0.5000 0.5000 0.5000
```

=====

5.
Below is crystalline K2YCu at its relaxed geometry, with properties calculated at the PBE level.

Computed properties:
**Energy of formation from the pure elements**: 0.69 eV per atom
**Calculated total energy**: -0.1834 Ry/atom
**Space-group type**: I-4m2

```
K2YCu
1.0
-2.8686 2.8686 4.0705
2.8686 -2.8686 4.0705
2.8686 2.8686 -4.0705
K Y Cu
2 1 1
Direct
0.0000 0.0000 0.0000
0.7500 0.2500 0.5000
0.2500 0.7500 0.5000
0.5000 0.5000 0.0000
```

=====

6.
Below is crystalline Co2ReTe at its relaxed geometry, with properties calculated at the PBE level.

Computed properties:
**Formation energy (no corrections)**: 701 meV per atom
**Calculated total energy**: -0.4961 Ry/atom
**Space-group type**: R3m

```
Co2ReTe
1.0
1.4927 0.8618 7.9523
-1.4927 0.8618 7.9523
0.0000 -1.7236 7.9523
Co Re Te
2 1 1
Direct
0.0000 0.0000 0.0000
0.2593 0.2593 0.2593
0.5121 0.5121 0.5121
0.7534 0.7534 0.7534
```

=====

7.
Below is crystalline CaSmGe4 at its relaxed geometry, with properties calculated at the PBE level.

Computed properties:
**Energy of formation from the pure elements**: -0.35 eV per atom
**Calculated total energy**: -0.3344 Ry/atom
**Space-group type**: F-43m

```
CaSmGe4
1.0
0.0000 4.0352 4.0352
4.0352 0.0000 4.0352
4.0352 4.0352 0.0000
Ca Sm Ge
1 1 4
Direct
0.0000 0.0000 0.0000
0.2500 0.2500 0.2500
0.1256 0.6248 0.6248
0.6248 0.1256 0.6248
0.6248 0.6248 0.1256
0.6248 0.6248 0.6248
```

=====

8.
Below is crystalline YBe2Os2 at its relaxed geometry, with properties calculated at the PBE level.

Computed properties:
**Energy of formation from the pure elements**: -0.06 eV per atom
**Calculated total energy**: -0.5389 Ry/atom
**Space-group type**: P4/mbm

```
YBe2Os2
1.0
6.7087 0.0000 0.0000
0.0000 6.7087 0.0000
0.0000 0.0000 3.1009
Y Be Os
2 4 4
Direct
0.0000 0.0000 0.0000
0.5000 0.5000 0.0000
0.1160 0.3840 0.0000
0.3840 0.8840 0.0000
0.6160 0.1160 0.0000
0.8840 0.6160 0.0000
0.1537 0.6537 0.5000
0.3463 0.1537 0.5000
0.6537 0.8463 0.5000
0.8463 0.3463 0.5000
```

=====

9.
Below is crystalline MnPCSeN at its relaxed geometry, with properties calculated at the PBE level.

Computed properties:
**Formation energy (no corrections)**: 344 meV per atom
**Calculated total energy**: -0.4982 Ry/atom
**Space-group type**: Cm

```
MnPCSeN
1.0
5.1333 -1.3672 0.0000
5.1333 1.3672 0.0000
-0.8415 0.0000 5.3353
Mn P C Se N
1 1 1 1 1
Direct
0.0000 0.0000 0.0000
0.2104 0.2104 0.0240
0.5023 0.5023 0.7792
0.5689 0.5689 0.4542
0.8041 0.8041 0.0241
```

=====

10.
Below is crystalline CuICl2 at its relaxed geometry, with properties calculated at the PBE level.

Computed properties:
**Formation energy (no corrections)**: -281 meV per atom
**Calculated total energy**: -0.1923 Ry/atom
**Space-group type**: P1

```
CuICl2
1.0
5.7480 0.0000 0.0000
0.3862 5.7378 0.0000
1.6336 1.5298 7.2855
Cu I Cl
2 2 4
Direct
0.0000 0.0000 0.0000
0.1619 0.8333 0.5001
0.4890 0.5333 0.4142
0.6992 0.3258 0.9143
0.1506 0.2282 0.4718
0.3944 0.9868 0.9723
0.8652 0.8327 0.3228
0.9976 0.7020 0.8232
```

=====

11.
Below is crystalline NbHSe3 at its relaxed geometry, with properties calculated at the PBE level.

Computed properties:
**Calculated total energy**: -0.3662 Ry/atom
**Space-group type**: C2/m

```
NbHSe3
1.0
8.1406 -1.6969 0.0000
8.1406 1.6969 0.0000
-0.0365 0.0000 7.8888
Nb H Se
2 2 6
Direct
0.1993 0.1993 0.3910
0.8007 0.8007 0.6090
0.4606 0.4606 0.8246
0.5394 0.5394 0.1754
0.0505 0.0505 0.2343
0.1908 0.1908 0.0575
0.3575 0.3575 0.3905
0.6425 0.6425 0.6095
0.8092 0.8092 0.9425
0.9495 0.9495 0.7657
```

=====

12.
Below is crystalline PmEr2Hg3 at its relaxed geometry, with properties calculated at the PBE level.

Computed properties:
**Energy of formation from the pure elements**: -0.48 eV per atom
**Calculated total energy**: -0.2161 Ry/atom
**Space-group type**: P4/mmm

```
PmEr2Hg3
1.0
3.7210 0.0000 0.0000
0.0000 3.7210 0.0000
0.0000 0.0000 11.2620
Pm Er Hg
1 2 3
Direct
0.0000 0.0000 0.0000
0.0000 0.0000 0.3371
0.0000 0.0000 0.6629
0.5000 0.5000 0.1793
0.5000 0.5000 0.5000
0.5000 0.5000 0.8207
```

=====

13.
Below is crystalline Co3AsPd at its relaxed geometry, with properties calculated at the PBE level.

Computed properties:
**Energy of formation from the pure elements**: 0.70 eV per atom
**Calculated total energy**: -0.4067 Ry/atom
**Space-group type**: Pm-3m

```
Co3AsPd
1.0
4.2994 0.0000 0.0000
0.0000 4.2994 0.0000
0.0000 0.0000 4.2994
Co As Pd
3 1 1
Direct
0.0000 0.0000 0.5000
0.0000 0.5000 0.0000
0.5000 0.0000 0.0000
0.0000 0.0000 0.0000
0.5000 0.5000 0.5000
```

=====

14.
Below is crystalline LiBeCl3 at its relaxed geometry, with properties calculated at the PBE level.

Computed properties:
**Formation energy (no corrections)**: -1551 meV per atom
**Calculated total energy**: -0.2784 Ry/atom
**Space-group type**: P2_1/m

```
LiBeCl3
1.0
6.0702 0.0000 0.0000
0.0000 3.4499 0.0000
-0.6405 0.0000 10.7658
Li Be Cl
2 2 6
Direct
0.1154 0.2500 0.1451
0.8846 0.7500 0.8549
0.3273 0.2500 0.7405
0.6727 0.7500 0.2595
0.1804 0.2500 0.9057
0.2151 0.7500 0.6452
0.3444 0.7500 0.2433
0.6556 0.2500 0.7567
0.7849 0.2500 0.3548
0.8196 0.7500 0.0943
```

=====

15.
Below is crystalline Rb2BO at its relaxed geometry, with properties calculated at the PBE level.

Computed properties:
**Formation energy (no corrections)**: 121 meV per atom
**Calculated total energy**: -0.2404 Ry/atom
**Space-group type**: I-42d

```
Rb2BO
1.0
-6.0340 6.0340 1.6055
6.0340 -6.0340 1.6055
6.0340 6.0340 -1.6055
Rb B O
4 2 2
Direct
0.3750 0.1423 0.2673
0.8577 0.1250 0.2327
0.8750 0.1077 0.7327
0.8923 0.6250 0.7673
0.2500 0.7500 0.5000
0.5000 0.5000 0.0000
0.0000 0.0000 0.0000
0.7500 0.2500 0.5000
```

=====

16.
Below is crystalline Zn2RuPb at its relaxed geometry, with properties calculated at the PBE level.

Computed properties:
**Energy of formation from the pure elements**: 0.35 eV per atom
**Calculated total energy**: -0.2596 Ry/atom
**Space-group type**: Pmmm

```
Zn2RuPb
1.0
3.3524 0.0000 0.0000
0.0000 4.3967 0.0000
0.0000 0.0000 4.7378
Zn Ru Pb
2 1 1
Direct
0.0000 0.0000 0.0000
0.5000 0.5000 0.0000
0.0000 0.5000 0.5000
0.5000 0.0000 0.5000
```

=====

17.
Below is crystalline SmTlSnCl6 at its relaxed geometry, with properties calculated at the PBE level.

Computed properties:
**Formation energy (no corrections)**: -1593 meV per atom
**Calculated total energy**: -0.2982 Ry/atom
**Space-group type**: P-31c

```
SmTlSnCl6
1.0
7.3429 0.0000 0.0000
-3.6715 6.3591 0.0000
0.0000 0.0000 13.6094
Sm Tl Sn Cl
2 2 2 12
Direct
0.3333 0.6667 0.2500
0.6667 0.3333 0.7500
0.0000 0.0000 0.0000
0.0000 0.0000 0.5000
0.3333 0.6667 0.7500
0.6667 0.3333 0.2500
0.0147 0.3747 0.1371
0.0147 0.6400 0.3629
0.3600 0.3747 0.3629
0.3600 0.9853 0.1371
0.3747 0.0147 0.6371
0.3747 0.3600 0.8629
0.6253 0.6400 0.1371
0.6253 0.9853 0.3629
0.6400 0.0147 0.8629
0.6400 0.6253 0.6371
0.9853 0.3600 0.6371
0.9853 0.6253 0.8629
```